Entry i
Li12AgPd6 (PBE, relaxed); SG = No. 148
1.0
6.4750 0.0000 2.0757
-3.2072 5.9512 2.5800
0.0605 0.0000 7.2358
Pd Li Ag
6 12 1
direct
0.9501 0.3002 0.4885
0.5614 0.5115 0.7887
0.3501 0.7887 0.6998
0.6499 0.2113 0.3002
0.4386 0.4885 0.2113
0.0499 0.6998 0.5115
0.4848 0.1605 0.7160
0.2008 0.7160 0.1236
0.2592 0.4417 0.6275
0.7992 0.2840 0.8764
0.5152 0.8395 0.2840
0.8868 0.6275 0.9308
0.6757 0.8764 0.8395
0.8175 0.9308 0.4417
0.7408 0.5583 0.3725
0.1132 0.3725 0.0692
0.1825 0.0692 0.5583
0.3243 0.1236 0.1605
0.0000 0.0000 0.0000

---

Entry ii
Li12AgPd6 (PBE, relaxed); SG = No. 148
1.0
-4.9131 -4.0890 -1.9565
-2.2266 -0.1435 6.3014
-3.7653 5.3595 -1.3357
Li Pd Ag
12 6 1
direct
0.8523 0.6205 0.9809
0.0191 0.1477 0.3795
0.8091 0.5244 0.4237
0.1909 0.4756 0.5763
0.9809 0.8523 0.6205
0.3795 0.0191 0.1477
0.4756 0.5763 0.1909
0.5244 0.4237 0.8091
0.4237 0.8091 0.5244
0.5763 0.1909 0.4756
0.6205 0.9809 0.8523
0.1477 0.3795 0.0191
0.2827 0.7299 0.8809
0.8809 0.2827 0.7299
0.2701 0.1191 0.7173
0.7299 0.8809 0.2827
0.1191 0.7173 0.2701
0.7173 0.2701 0.1191
0.0000 0.0000 0.0000

---

Energy ordering: entry i at the bottom, the next structure 31 meV per atom above.

---

Entry i
Li3Ag6Pd (PBE, relaxed); SG = No. 167
1.0
-2.2542 1.5129 -6.6542
6.4968 0.3715 -3.0500
0.1591 -6.7294 -2.5176
Pd Ag Li
2 12 6
direct
0.7500 0.7500 0.7500
0.2500 0.2500 0.2500
0.5774 0.4193 0.7649
0.5807 0.2351 0.4226
0.0807 0.9226 0.7351
0.7351 0.0807 0.9226
0.0774 0.2649 0.9193
0.9226 0.7351 0.0807
0.2649 0.9193 0.0774
0.2351 0.4226 0.5807
0.7649 0.5774 0.4193
0.9193 0.0774 0.2649
0.4226 0.5807 0.2351
0.4193 0.7649 0.5774
0.9250 0.2500 0.5750
0.4250 0.0750 0.7500
0.7500 0.4250 0.0750
0.0750 0.7500 0.4250
0.5750 0.9250 0.2500
0.2500 0.5750 0.9250

---

Entry ii
Li3Ag6Pd (PBE, relaxed); SG = No. 36
1.0
5.2572 0.0000 0.0000
0.0000 8.2742 -0.2745
0.0000 -2.1140 8.0043
Ag Li Pd
12 6 2
direct
0.1366 0.7370 0.2630
0.5986 0.3193 0.3991
0.0986 0.6807 0.6009
0.6366 0.2630 0.7370
0.2719 0.9596 0.0404
0.0986 0.3991 0.3193
0.8694 0.9606 0.5495
0.8694 0.4505 0.0394
0.7719 0.0404 0.9596
0.5986 0.6009 0.6807
0.3694 0.5495 0.9606
0.3694 0.0394 0.4505
0.6275 0.6325 0.3675
0.9324 0.0802 0.2838
0.4324 0.2838 0.0802
0.1275 0.3675 0.6325
0.4324 0.9198 0.7162
0.9324 0.7162 0.9198
0.6486 0.8206 0.1794
0.1486 0.1794 0.8206

---

Energy ordering: entry ii at the bottom, the next structure 81 meV per atom above.

---

Entry i
Li5Ag3Pd3 (PBE, relaxed); SG = No. 189
1.0
2.8065 0.0000 0.0000
0.0000 7.7430 -4.4704
0.0000 0.0000 8.9408
Ag Li Pd
3 5 3
direct
0.0000 0.5686 0.0000
0.0000 0.4314 0.4314
0.0000 0.0000 0.5686
0.5000 0.0000 0.3149
0.5000 0.6667 0.3333
0.5000 0.3149 0.0000
0.5000 0.6851 0.6851
0.5000 0.3333 0.6667
0.5000 0.8278 0.0000
0.5000 0.0000 0.8278
0.5000 0.1722 0.1722

---

Entry ii
Li5Ag3Pd3 (PBE, relaxed); SG = No. 189
1.0
2.8129 0.0000 0.0000
0.0000 8.6329 0.0000
0.0000 -4.3165 7.4764
Pd Ag Li
3 3 5
direct
0.5000 0.0000 0.3222
0.5000 0.3222 0.0000
0.5000 0.6778 0.6778
0.0000 0.4052 0.4052
0.0000 0.0000 0.5948
0.0000 0.5948 0.0000
0.5000 0.1665 0.1665
0.5000 0.8335 0.0000
0.5000 0.0000 0.8335
0.5000 0.6667 0.3333
0.5000 0.3333 0.6667

---

Energy ordering: entry i at the bottom, the next structure 17 meV per atom above.